[1]
Compound: K2Ag2F
Source: Alexandria via LeMat-Bulk
Functional: GGA-PBE
Structure: optimized geometry

Energy above the most stable polymorph in this dataset in eV/atom: 0.000
Size of the total moment in μB per atom: 0.000
DOS at the Fermi energy in states/eV/f.u.: 1.54

a = 6.7714 Å, b = 6.7714 Å, c = 6.2028 Å
α = 90.00°, β = 90.00°, γ = 90.00°
Last column: nearest neighbours and their distance in Å.
Fractional coordinates of all 10 atoms:
K (0.1851, 0.3149, 0.0000)  2 F 2.47
K (0.3149, 0.8149, 0.0000)  2 F 2.47
K (0.6851, 0.1851, 0.0000)  2 F 2.47
K (0.8149, 0.6851, 0.0000)  2 F 2.47
Ag (0.1450, 0.6450, 0.5000)  1 Ag 2.78
Ag (0.3550, 0.1450, 0.5000)  1 Ag 2.78
Ag (0.6450, 0.8550, 0.5000)  1 Ag 2.78
Ag (0.8550, 0.3550, 0.5000)  1 Ag 2.78
F (0.0000, 0.0000, 0.0000)  4 K 2.47
F (0.5000, 0.5000, 0.0000)  4 K 2.47

[2]
Compound: ReIN2O
Source: Alexandria via LeMat-Bulk
Functional: GGA-PBE
Structure: optimized geometry

Size of the total moment in μB per atom: 0.000
Final energy in eV per atom: -6.379
DOS at the Fermi energy in states/eV/f.u.: 1.43

a = 3.7605 Å, b = 3.7605 Å, c = 5.8081 Å
α = 90.00°, β = 90.00°, γ = 90.00°
Last column: nearest neighbours and their distance in Å.
Fractional coordinates of all 5 atoms:
Re (0.0000, 0.0000, 0.0000)  4 N 1.88
I (0.0000, 0.0000, 0.5000)  4 O 2.66, 2 Re 2.90
N (0.0000, 0.5000, 0.0000)  2 Re 1.88
N (0.5000, 0.0000, 0.0000)  2 Re 1.88
O (0.5000, 0.5000, 0.5000)  4 I 2.66

[3]
Compound: Al2ZnHg
Source: Alexandria via LeMat-Bulk
Functional: GGA-PBE
Structure: optimized geometry

Energy above the most stable polymorph in this dataset in eV/atom: 0.027
Size of the total moment in μB per atom: 0.000
DOS at the Fermi energy in states/eV/f.u.: 1.28
E_form in eV/atom: 0.125

a = 4.6002 Å, b = 4.6002 Å, c = 5.4822 Å
α = 101.73°, β = 101.73°, γ = 41.02°
Last column: nearest neighbours and their distance in Å.
Fractional coordinates of all 4 atoms:
Al (0.0000, 0.0000, 0.0000)  3 Al 2.77-2.78, 3 Hg 2.85-2.86, 2 Zn 2.94
Al (0.7486, 0.7486, 0.2409)  3 Zn 2.68-2.70, 3 Al 2.77-2.78
Zn (0.4929, 0.4929, 0.4467)  5 Al 2.68-2.94, 3 Hg 2.88
Hg (0.2464, 0.2464, 0.7276)  5 Al 2.85-3.12, 3 Zn 2.88

[4]
Compound: Nd3Dy5Er
Source: Alexandria via LeMat-Bulk
Functional: GGA-PBE
Structure: optimized geometry

Energy above the most stable polymorph in this dataset in eV/atom: 0.364
Size of the total moment in μB per atom: 0.000
DOS at the Fermi energy in states/eV/f.u.: 12.69
E_form in eV/atom: 0.523

a = 9.5481 Å, b = 9.5481 Å, c = 9.9884 Å
α = 121.32°, β = 121.32°, γ = 73.25°
Last column: nearest neighbours and their distance in Å.
Fractional coordinates of all 18 atoms:
Nd (0.0000, 0.0000, 0.0000)  2 Nd 3.02, 2 Er 3.30
Nd (0.0082, 0.0082, 0.3101)  1 Nd 3.02, 3 Dy 3.22-3.35
Nd (0.4778, 0.4778, 0.1390)  1 Er 3.23, 2 Dy 3.25-3.39, 2 Nd 3.26-3.39
Nd (0.5000, 0.5000, 0.5000)  4 Dy 2.92-3.18, 2 Er 3.27
Nd (0.5222, 0.5222, 0.8610)  1 Er 3.23, 2 Dy 3.25-3.39, 2 Nd 3.26-3.39
Nd (0.9918, 0.9918, 0.6899)  1 Nd 3.02, 3 Dy 3.22-3.35
Dy (0.0907, 0.5923, 0.7496)  2 Dy 3.30-3.34, 2 Nd 3.51-3.62
Dy (0.2193, 0.2193, 0.7268)  3 Nd 3.22-3.39, 3 Dy 3.29-3.34, 1 Er 3.44
Dy (0.2435, 0.7565, 0.5000)  1 Nd 2.92
Dy (0.2779, 0.2779, 0.4629)  3 Nd 3.18-3.35, 3 Dy 3.29-3.30, 1 Er 3.37
Dy (0.4077, 0.9093, 0.2504)  2 Dy 3.30-3.34, 2 Nd 3.51-3.62
Dy (0.5923, 0.0907, 0.7496)  2 Dy 3.30-3.34, 2 Nd 3.51-3.62
Dy (0.7221, 0.7221, 0.5371)  3 Nd 3.18-3.35, 3 Dy 3.29-3.30, 1 Er 3.37
Dy (0.7565, 0.2435, 0.5000)  1 Nd 2.92
Dy (0.7807, 0.7807, 0.2732)  3 Nd 3.22-3.39, 3 Dy 3.29-3.34, 1 Er 3.44
Dy (0.9093, 0.4077, 0.2504)  2 Dy 3.30-3.34, 2 Nd 3.51-3.62
Er (0.2523, 0.2523, 0.1017)  4 Nd 3.23-3.40, 2 Dy 3.37-3.44
Er (0.7477, 0.7477, 0.8983)  4 Nd 3.23-3.40, 2 Dy 3.37-3.44

[5]
Compound: ZnCd4Hg5
Source: Alexandria via LeMat-Bulk
Functional: GGA-PBE
Structure: optimized geometry

Energy above the most stable polymorph in this dataset in eV/atom: 0.000
Size of the total moment in μB per atom: 0.000
DOS at the Fermi energy in states/eV/f.u.: 2.14
E_form in eV/atom: 0.044

a = 5.1680 Å, b = 6.3591 Å, c = 7.5133 Å
α = 101.86°, β = 96.91°, γ = 90.34°
Last column: nearest neighbours and their distance in Å.
Fractional coordinates of all 10 atoms:
Zn (0.0000, 0.0000, 0.0000)  4 Cd 2.80-3.13, 2 Hg 2.97
Cd (0.1779, 0.1072, 0.3753)  1 Zn 2.80, 3 Hg 3.03-3.13
Cd (0.4117, 0.6892, 0.8245)  6 Hg 3.00-3.28, 1 Zn 3.13, 1 Cd 3.16
Cd (0.5883, 0.3108, 0.1755)  6 Hg 3.00-3.28, 1 Zn 3.13, 1 Cd 3.16
Cd (0.8221, 0.8928, 0.6247)  1 Zn 2.80, 3 Hg 3.03-3.13
Hg (0.0000, 0.5000, 0.0000)  2 Cd 3.00, 4 Hg 3.13-3.19, 2 Zn 3.18
Hg (0.2247, 0.6132, 0.4148)  5 Cd 3.05-3.22, 3 Hg 3.13-3.25
Hg (0.3663, 0.1652, 0.7810)  1 Zn 2.97, 6 Cd 3.00-3.28, 2 Hg 3.19
Hg (0.6337, 0.8348, 0.2190)  1 Zn 2.97, 6 Cd 3.00-3.28, 2 Hg 3.19
Hg (0.7753, 0.3868, 0.5852)  5 Cd 3.05-3.22, 3 Hg 3.13-3.25

[6]
Compound: ZrSb4Pt
Source: Alexandria via LeMat-Bulk
Functional: GGA-PBE
Structure: optimized geometry

Size of the total moment in μB per atom: 0.000
Final energy in eV per atom: -4.699
DOS at the Fermi energy in states/eV/f.u.: 4.67

a = 5.9844 Å, b = 5.9844 Å, c = 5.9844 Å
α = 60.00°, β = 60.00°, γ = 60.00°
Last column: nearest neighbours and their distance in Å.
Fractional coordinates of all 6 atoms:
Zr (0.0000, 0.0000, 0.0000)  12 Sb 3.51, 4 Pt 3.66
Sb (0.3756, 0.3756, 0.3756)  6 Sb 2.98-3.01
Sb (0.3756, 0.3756, 0.8732)  6 Sb 2.98-3.01
Sb (0.3756, 0.8732, 0.3756)  6 Sb 2.98-3.01
Sb (0.8732, 0.3756, 0.3756)  6 Sb 2.98-3.01
Pt (0.7500, 0.7500, 0.7500)  12 Sb 3.51, 4 Zr 3.66